VASP calculation (PBE) on crystalline Rb3As2Se4 at its relaxed geometry.

a b c (Å): 8.690 9.951 9.460
angles (deg): 121.73 92.00 90.00
Fractional coordinates of all 18 atoms:
Rb (0.114, 0.764, 0.738)
Rb (0.386, 0.026, 0.262)
Rb (0.886, 0.236, 0.262)
Rb (0.614, 0.974, 0.738)
Rb (0.750, 0.511, 0.000)
Rb (0.250, 0.489, 0.000)
As (0.522, 0.536, 0.385)
As (0.978, 0.151, 0.615)
As (0.478, 0.464, 0.615)
As (0.022, 0.849, 0.385)
Se (0.494, 0.711, 0.869)
Se (0.006, 0.841, 0.131)
Se (0.506, 0.289, 0.131)
Se (0.994, 0.159, 0.869)
Se (0.783, 0.626, 0.433)
Se (0.717, 0.192, 0.567)
Se (0.217, 0.374, 0.567)
Se (0.283, 0.808, 0.433)

E_form (uncorrected)   -0.71 eV/atom
Uncorrected energy   -65.00 eV/cell
Energy relative to the lowest polymorph listed for this composition   0.0 meV per atom
Symmetry   C2/c

VASP calculation (PBE) on crystalline ScCrBrN2 at its relaxed geometry.

a b c (Å): 3.973 6.493 3.973
angles (deg): 90.00 90.00 90.00
Fractional coordinates of all 5 atoms:
Sc (0.000, 0.000, 0.000)
Cr (0.000, 0.500, 0.000)
Br (0.500, 0.500, 0.500)
N (0.000, 0.000, 0.500)
N (0.500, 0.000, 0.000)

E_form (uncorrected)   1.37 eV/atom
Uncorrected energy   -27.42 eV/cell
Symmetry   P4/mmm